1.
BaSb2W PBE relaxed; magnetic moment = 0.0 μB per formula unit; calculated total energy = -5.5897 eV per atom; D(E_F) = 1.93 states/eV per cell; SG = Immm, No. 71
1.0
-4.9782 -0.2981 -4.1099
-5.4078 -1.4840 3.2118
4.7708 4.1877 -1.2102
W Sb Ba
1 2 1
Direct
0.7500 0.2500 0.5000
0.9480 0.9480 0.0000
0.5520 0.5520 0.0000
0.2500 0.7500 0.5000

---

2.
BaSb2W PBE relaxed; magnetic moment = 0.0 μB per formula unit; calculated total energy = -5.5554 eV per atom; D(E_F) = 3.43 states/eV per cell; SG = Amm2, No. 38
1.0
5.1134 0.0000 0.0000
0.0000 4.1507 0.0013
0.0000 2.0750 6.4520
Ba Sb W
1 2 1
Direct
0.5000 0.6570 0.8111
0.0000 0.0484 0.0280
0.5000 0.3778 0.3701
0.0000 0.4168 0.2907

---

3.
Ba2SbW PBE relaxed; magnetic moment = 3.2 μB per formula unit; calculated total energy = -4.5417 eV per atom; D(E_F) = 3.94 states/eV per cell; SG = Cmmm, No. 65
1.0
-0.9023 -5.9081 5.4359
5.0145 3.3927 -0.1979
-0.5312 0.9955 3.5625
Ba Sb W
2 1 1
Direct
0.0000 0.0000 0.0000
0.5000 0.0000 0.5000
0.0000 0.5000 0.5000
0.5000 0.5000 0.0000

---

4.
BaSbW PBE relaxed; magnetic moment = 0.0 μB per formula unit; calculated total energy = -5.5655 eV per atom; D(E_F) = 2.66 states/eV per cell; SG = P3m1, No. 156
1.0
3.5507 0.0000 0.0000
-1.7754 3.0750 0.0000
0.0000 0.0000 7.5157
Sb Ba W
1 1 1
Direct
0.6667 0.3333 0.3880
0.0000 0.0000 0.9822
0.3333 0.6667 0.6298